# LiPrMo2O8

A relaxed structure of LiPrMo2O8 (GGA-PBEsol, Alexandria).

Cell: 4.9976 5.9111 10.9273 Å, 90.00 110.95 90.00°
Space group P2/c (No. 13)
Inequivalent atoms, fractional coordinates:
Li  0.0000  0.2026  0.2500 (multiplicity 2)
Pr  0.5000  0.2868  0.7500 (multiplicity 2)
Mo  0.2665  0.1817  0.0278 (multiplicity 4)
O  0.1212  0.1054  0.5938 (multiplicity 4)
O  0.2131  0.3624  0.1444 (multiplicity 4)
O  0.3035  0.3721  0.9113 (multiplicity 4)
O  0.3771  0.0685  0.3805 (multiplicity 4)

Values from the calculation:
V = 301.5 Å³ per cell
Mass density = 5.2 Mg/m³
Uncorrected formation energy = -55.212 kcal/mol of atoms

***

# RbLiMoO4

A relaxed structure of RbLiMoO4 (GGA-PBEsol, Alexandria).

Cell: 9.6706 5.6509 9.9886 Å, 90.00 111.11 90.00°
Space group Cc (No. 9)
Inequivalent atoms, fractional coordinates:
Rb  0.0000  0.2170  0.0000 (multiplicity 4)
Li  0.1200  0.2412  0.3707 (multiplicity 4)
Mo  0.2456  0.2476  0.7475 (multiplicity 4)
O  0.1143  0.0590  0.7775 (multiplicity 4)
O  0.2050  0.4554  0.2752 (multiplicity 4)
O  0.2379  0.2100  0.5695 (multiplicity 4)
O  0.4256  0.1794  0.8675 (multiplicity 4)

Values from the calculation:
V = 509.2 Å³ per cell
Mass density = 3.3 Mg/m³
Uncorrected formation energy = -49.776 kcal/mol of atoms

***

# LiSbMo2O8

A relaxed structure of LiSbMo2O8 (GGA-PBEsol, Alexandria).

Cell: 21.5910 4.9036 5.5245 Å, 90.00 100.39 90.00°
Space group C2/c (No. 15)
Inequivalent atoms, fractional coordinates:
Li  0.2500  0.2500  0.0000 (multiplicity 4)
Sb  0.0000  0.1979  0.7500 (multiplicity 4)
Mo  0.1379  0.2531  0.2802 (multiplicity 8)
O  0.0525  0.0906  0.1167 (multiplicity 8)
O  0.1033  0.4585  0.4852 (multiplicity 8)
O  0.1610  0.0433  0.9594 (multiplicity 8)
O  0.2096  0.4114  0.2813 (multiplicity 8)

Values from the calculation:
V = 575.3 Å³ per cell
Mass density = 5.2 Mg/m³
Uncorrected formation energy = -43.946 kcal/mol of atoms

***

# LiSmMo2O8

A relaxed structure of LiSmMo2O8 (GGA-PBEsol, Alexandria).

Cell: 4.9831 5.8120 10.8209 Å, 90.00 111.28 90.00°
Space group P2/c (No. 13)
Inequivalent atoms, fractional coordinates:
Li  0.0000  0.2200  0.2500 (multiplicity 2)
Sm  0.5000  0.2817  0.7500 (multiplicity 2)
Mo  0.2662  0.1856  0.0256 (multiplicity 4)
O  0.1254  0.1069  0.5943 (multiplicity 4)
O  0.2160  0.3727  0.1425 (multiplicity 4)
O  0.3034  0.3744  0.9057 (multiplicity 4)
O  0.3754  0.0714  0.3798 (multiplicity 4)

Values from the calculation:
V = 292.0 Å³ per cell
Mass density = 5.4 Mg/m³
Uncorrected formation energy = -55.661 kcal/mol of atoms